Version one
VASP calculation (PBE-GGA) on a relaxed NaCeMg6O8 crystal. Values from VASP.

Geometry as Quantum ESPRESSO input:
```
&SYSTEM
  ibrav = 0, nat = 16, ntyp = 4
/
ATOMIC_SPECIES
O 16.00 O.upf
Mg 24.30 Mg.upf
Na 22.99 Na.upf
Ce 140.12 Ce.upf
CELL_PARAMETERS angstrom
-3.976 0.412 2.062
-0.809 -4.370 -0.687
3.911 -1.970 7.933
ATOMIC_POSITIONS angstrom
O -0.032 -0.779 4.998
O -1.415 -2.472 2.671
O -0.405 -2.185 -0.343
O -1.988 0.206 1.031
O 0.541 -3.457 6.638
O 0.984 -0.496 1.997
O 2.926 -1.474 5.937
O 1.551 -3.170 3.623
Mg 0.682 -2.733 1.861
Mg -0.437 -2.964 4.654
Mg -2.392 -1.979 0.688
Mg 2.419 -3.608 5.386
Mg -0.901 -0.341 3.235
Mg 0.836 -1.217 6.760
Na 1.955 -0.985 3.967
Ce 0.000 0.000 0.000
```

Version two
VASP calculation (PBE-GGA) on a relaxed NaCeMg6O8 crystal. Values from VASP.

Geometry as Quantum ESPRESSO input:
```
&SYSTEM
  ibrav = 0, nat = 16, ntyp = 4
/
ATOMIC_SPECIES
Mg 24.30 Mg.upf
O 16.00 O.upf
Na 22.99 Na.upf
Ce 140.12 Ce.upf
CELL_PARAMETERS angstrom
4.468 0.000 0.000
0.000 4.468 0.000
0.000 0.000 9.065
ATOMIC_POSITIONS angstrom
Mg 2.234 0.000 2.461
Mg 2.234 2.234 4.533
Mg 0.000 2.234 6.605
Mg 0.000 0.000 4.533
Mg 0.000 2.234 2.461
Mg 2.234 0.000 6.605
O 0.000 2.234 4.533
O 0.000 0.000 2.435
O 2.234 0.000 0.000
O 0.000 0.000 6.630
O 2.234 2.234 2.466
O 2.234 0.000 4.533
O 2.234 2.234 6.600
O 0.000 2.234 0.000
Na 2.234 2.234 0.000
Ce 0.000 0.000 0.000
```

It is version one that is the least stable of them.

Version one
VASP calculation (PBE-GGA) on a relaxed Ce2Mg2Ni15 crystal. Values from VASP.

Geometry as Quantum ESPRESSO input:
```
&SYSTEM
  ibrav = 0, nat = 19, ntyp = 3
/
ATOMIC_SPECIES
Ni 58.69 Ni.upf
Mg 24.30 Mg.upf
Ce 140.12 Ce.upf
CELL_PARAMETERS angstrom
6.401 0.006 0.006
0.837 6.346 0.006
0.837 0.734 6.304
ATOMIC_POSITIONS angstrom
Ni 5.850 2.438 2.172
Ni 2.225 4.649 4.143
Ni 0.418 3.173 0.003
Ni 0.837 4.499 2.079
Ni 4.569 0.246 2.079
Ni 3.176 5.484 2.172
Ni 0.837 2.582 4.230
Ni 2.669 4.259 0.006
Ni 2.669 0.495 4.230
Ni 3.201 0.003 0.003
Ni 4.569 2.094 0.006
Ni 0.418 0.367 3.152
Ni 3.176 2.787 5.198
Ni 4.899 4.300 1.116
Ni 4.899 1.603 4.143
Mg 5.030 4.415 3.934
Mg 3.044 2.672 2.381
Ce 7.129 6.257 5.575
Ce 0.946 0.830 0.740
```

Version two
VASP calculation (PBE-GGA) on a relaxed Ce2Mg2Ni15 crystal. Values from VASP.

Geometry as Quantum ESPRESSO input:
```
&SYSTEM
  ibrav = 0, nat = 19, ntyp = 3
/
ATOMIC_SPECIES
Mg 24.30 Mg.upf
Ni 58.69 Ni.upf
Ce 140.12 Ce.upf
CELL_PARAMETERS angstrom
-0.523 4.143 4.801
-5.625 -1.974 2.223
2.189 -3.776 4.629
ATOMIC_POSITIONS angstrom
Mg -3.556 -1.444 10.466
Mg -0.403 -0.164 1.187
Ni -3.229 -2.527 2.961
Ni -2.813 -0.987 1.112
Ni 0.195 -0.074 6.529
Ni 1.095 -1.888 2.315
Ni -2.087 2.268 4.010
Ni -2.333 -3.106 5.252
Ni -0.261 2.072 2.400
Ni -4.061 -0.099 3.013
Ni -4.154 -1.533 5.124
Ni -0.282 -2.426 6.316
Ni -0.207 -3.224 3.892
Ni 1.358 -1.348 4.682
Ni 0.309 1.715 4.748
Ni -3.677 0.818 5.337
Ni -1.626 1.498 6.401
Ce -2.570 -1.044 7.565
Ce -1.389 -0.564 4.088
```

It is version one that is the least stable of them.

Version one
VASP calculation (PBE-GGA) on a relaxed Ce2MgO crystal. Values from VASP.

Geometry as Quantum ESPRESSO input:
```
&SYSTEM
  ibrav = 0, nat = 4, ntyp = 3
/
ATOMIC_SPECIES
Ce 140.12 Ce.upf
Mg 24.30 Mg.upf
O 16.00 O.upf
CELL_PARAMETERS angstrom
-1.426 3.172 0.040
-2.515 0.805 -2.263
-7.312 -1.444 4.941
ATOMIC_POSITIONS angstrom
Ce -6.326 -0.989 4.007
Ce -2.300 0.870 0.193
Mg -5.618 1.271 1.350
O -2.637 2.647 -1.473
```

Version two
VASP calculation (PBE-GGA) on a relaxed Ce2MgO crystal. Values from VASP.

Geometry as Quantum ESPRESSO input:
```
&SYSTEM
  ibrav = 0, nat = 4, ntyp = 3
/
ATOMIC_SPECIES
O 16.00 O.upf
Mg 24.30 Mg.upf
Ce 140.12 Ce.upf
CELL_PARAMETERS angstrom
3.291 0.000 0.000
1.646 2.851 0.000
1.646 0.950 9.863
ATOMIC_POSITIONS angstrom
O 3.291 1.900 4.931
Mg 0.000 0.000 0.000
Ce 1.646 0.950 6.470
Ce 4.937 2.851 3.393
```

It is version two that is the least stable of them.

Version one
VASP calculation (PBE-GGA) on a relaxed Ce2MgP crystal. Values from VASP.

Geometry as Quantum ESPRESSO input:
```
&SYSTEM
  ibrav = 0, nat = 4, ntyp = 3
/
ATOMIC_SPECIES
Mg 24.30 Mg.upf
Ce 140.12 Ce.upf
P 30.97 P.upf
CELL_PARAMETERS angstrom
3.692 0.000 0.000
1.846 3.197 0.000
1.846 1.066 10.454
ATOMIC_POSITIONS angstrom
Mg 0.000 0.000 0.000
Ce 5.537 3.197 3.490
Ce 1.846 1.066 6.964
P 3.692 2.131 5.227
```

Version two
VASP calculation (PBE-GGA) on a relaxed Ce2MgP crystal. Values from VASP.

Geometry as Quantum ESPRESSO input:
```
&SYSTEM
  ibrav = 0, nat = 4, ntyp = 3
/
ATOMIC_SPECIES
P 30.97 P.upf
Mg 24.30 Mg.upf
Ce 140.12 Ce.upf
CELL_PARAMETERS angstrom
-1.333 -0.369 3.616
1.218 -2.926 2.223
6.590 3.904 4.901
ATOMIC_POSITIONS angstrom
P -0.073 -2.194 3.894
Mg 3.223 0.293 5.363
Ce 5.325 2.950 4.338
Ce 1.237 -0.136 2.515
```

It is version one that is the least stable of them.

Version one
VASP calculation (PBE-GGA) on a relaxed Ce2MgPa crystal. Values from VASP.

Geometry as Quantum ESPRESSO input:
```
&SYSTEM
  ibrav = 0, nat = 4, ntyp = 3
/
ATOMIC_SPECIES
Ce 140.12 Ce.upf
Mg 24.30 Mg.upf
Pa 231.04 Pa.upf
CELL_PARAMETERS angstrom
3.152 0.000 0.000
1.576 2.730 0.000
1.576 0.910 12.269
ATOMIC_POSITIONS angstrom
Ce 1.576 0.910 8.983
Ce 4.729 2.730 3.286
Mg 0.000 0.000 0.000
Pa 3.152 1.820 6.134
```

Version two
VASP calculation (PBE-GGA) on a relaxed Ce2MgPa crystal. Values from VASP.

Geometry as Quantum ESPRESSO input:
```
&SYSTEM
  ibrav = 0, nat = 4, ntyp = 3
/
ATOMIC_SPECIES
Ce 140.12 Ce.upf
Mg 24.30 Mg.upf
Pa 231.04 Pa.upf
CELL_PARAMETERS angstrom
5.320 0.000 0.000
2.660 4.607 0.000
2.660 1.536 4.344
ATOMIC_POSITIONS angstrom
Ce 2.660 1.536 1.086
Ce 7.980 4.607 3.258
Mg 0.000 0.000 0.000
Pa 5.320 3.072 2.172
```

Version three
VASP calculation (PBE-GGA) on a relaxed Ce2MgPa crystal. Values from VASP.

Geometry as Quantum ESPRESSO input:
```
&SYSTEM
  ibrav = 0, nat = 4, ntyp = 3
/
ATOMIC_SPECIES
Mg 24.30 Mg.upf
Pa 231.04 Pa.upf
Ce 140.12 Ce.upf
CELL_PARAMETERS angstrom
4.594 0.000 0.000
0.000 4.750 0.000
0.000 0.000 4.750
ATOMIC_POSITIONS angstrom
Mg 2.297 2.375 2.375
Pa 2.297 0.000 0.000
Ce 0.000 2.375 0.000
Ce 0.000 0.000 2.375
```

It is version two that is the least stable of them.

Version one
VASP calculation (PBE-GGA) on a relaxed CeMg2Pb crystal. Values from VASP.

Geometry as Quantum ESPRESSO input:
```
&SYSTEM
  ibrav = 0, nat = 4, ntyp = 3
/
ATOMIC_SPECIES
Mg 24.30 Mg.upf
Ce 140.12 Ce.upf
Pb 207.20 Pb.upf
CELL_PARAMETERS angstrom
3.283 0.000 0.000
1.641 2.843 0.000
1.641 0.948 11.743
ATOMIC_POSITIONS angstrom
Mg 1.641 0.948 8.527
Mg 4.924 2.843 3.216
Ce 0.000 0.000 0.000
Pb 3.283 1.895 5.871
```

Version two
VASP calculation (PBE-GGA) on a relaxed CeMg2Pb crystal. Values from VASP.

Geometry as Quantum ESPRESSO input:
```
&SYSTEM
  ibrav = 0, nat = 4, ntyp = 3
/
ATOMIC_SPECIES
Mg 24.30 Mg.upf
Pb 207.20 Pb.upf
Ce 140.12 Ce.upf
CELL_PARAMETERS angstrom
3.532 0.000 0.000
0.000 3.532 0.000
0.000 0.000 8.723
ATOMIC_POSITIONS angstrom
Mg 0.000 0.000 6.704
Mg 0.000 0.000 2.019
Pb 1.766 1.766 0.000
Ce 1.766 1.766 4.361
```

Version three
VASP calculation (PBE-GGA) on a relaxed CeMg2Pb crystal. Values from VASP.

Geometry as Quantum ESPRESSO input:
```
&SYSTEM
  ibrav = 0, nat = 4, ntyp = 3
/
ATOMIC_SPECIES
Ce 140.12 Ce.upf
Pb 207.20 Pb.upf
Mg 24.30 Mg.upf
CELL_PARAMETERS angstrom
-2.428 -0.095 4.700
-2.375 -4.427 1.661
2.078 -2.778 3.995
ATOMIC_POSITIONS angstrom
Ce 0.000 0.000 0.000
Pb -1.363 -3.650 5.179
Mg -0.681 -1.825 2.589
Mg -2.044 -5.475 7.768
```

Version four
VASP calculation (PBE-GGA) on a relaxed CeMg2Pb crystal. Values from VASP.

Geometry as Quantum ESPRESSO input:
```
&SYSTEM
  ibrav = 0, nat = 4, ntyp = 3
/
ATOMIC_SPECIES
Ce 140.12 Ce.upf
Mg 24.30 Mg.upf
Pb 207.20 Pb.upf
CELL_PARAMETERS angstrom
-1.408 4.060 -2.448
0.084 -2.373 -3.984
-4.445 -1.176 0.607
ATOMIC_POSITIONS angstrom
Ce -2.885 0.255 -2.913
Mg 0.042 -1.187 -1.992
Mg -2.223 -0.588 0.303
Pb -0.704 2.030 -1.224
```

It is version one that is the least stable of them.

Version one
VASP calculation (PBE-GGA) on a relaxed Ce3MgPb2 crystal. Values from VASP.

Geometry as Quantum ESPRESSO input:
```
&SYSTEM
  ibrav = 0, nat = 6, ntyp = 3
/
ATOMIC_SPECIES
Pb 207.20 Pb.upf
Ce 140.12 Ce.upf
Mg 24.30 Mg.upf
CELL_PARAMETERS angstrom
4.551 0.000 0.000
0.000 4.783 -1.583
0.000 0.004 8.027
ATOMIC_POSITIONS angstrom
Pb 0.000 3.134 1.451
Pb 0.000 1.653 4.993
Ce 2.276 2.391 -0.792
Ce 2.276 3.955 3.930
Ce 2.276 0.832 2.514
Mg 0.000 0.000 0.000
```

Version two
VASP calculation (PBE-GGA) on a relaxed Ce3MgPb2 crystal. Values from VASP.

Geometry as Quantum ESPRESSO input:
```
&SYSTEM
  ibrav = 0, nat = 12, ntyp = 3
/
ATOMIC_SPECIES
Pb 207.20 Pb.upf
Mg 24.30 Mg.upf
Ce 140.12 Ce.upf
CELL_PARAMETERS angstrom
6.668 0.000 0.000
0.000 6.454 0.000
-3.334 -3.227 8.589
ATOMIC_POSITIONS angstrom
Pb 1.582 0.000 2.251
Pb 5.085 3.227 2.251
Pb 1.752 3.227 6.338
Pb -1.752 0.000 6.338
Mg 0.000 4.841 0.000
Mg 0.000 1.614 0.000
Ce 4.986 0.000 3.047
Ce 3.334 1.614 0.000
Ce 1.682 3.227 3.047
Ce 1.652 0.000 5.542
Ce 3.334 4.841 0.000
Ce -1.652 3.227 5.542
```

It is version two that is the least stable of them.

Version one
VASP calculation (PBE-GGA) on a relaxed CeMgSnPb crystal. Values from VASP.

Geometry as Quantum ESPRESSO input:
```
&SYSTEM
  ibrav = 0, nat = 4, ntyp = 4
/
ATOMIC_SPECIES
Pb 207.20 Pb.upf
Mg 24.30 Mg.upf
Sn 118.71 Sn.upf
Ce 140.12 Ce.upf
CELL_PARAMETERS angstrom
5.357 0.000 0.000
2.678 4.639 0.000
2.678 1.546 4.374
ATOMIC_POSITIONS angstrom
Pb 8.035 4.639 3.280
Mg 5.357 3.093 2.187
Sn 2.678 1.546 1.093
Ce 0.000 0.000 0.000
```

Version two
VASP calculation (PBE-GGA) on a relaxed CeMgSnPb crystal. Values from VASP.

Geometry as Quantum ESPRESSO input:
```
&SYSTEM
  ibrav = 0, nat = 4, ntyp = 4
/
ATOMIC_SPECIES
Sn 118.71 Sn.upf
Ce 140.12 Ce.upf
Pb 207.20 Pb.upf
Mg 24.30 Mg.upf
CELL_PARAMETERS angstrom
4.490 0.000 0.000
0.000 4.885 0.000
0.000 0.000 4.836
ATOMIC_POSITIONS angstrom
Sn 0.000 0.000 0.000
Ce 2.245 0.000 2.418
Pb 0.000 2.443 2.418
Mg 2.245 2.443 0.000
```

It is version one that is the least stable of them.

Version one
VASP calculation (PBE-GGA) on a relaxed CeMgTlPb crystal. Values from VASP.

Geometry as Quantum ESPRESSO input:
```
&SYSTEM
  ibrav = 0, nat = 4, ntyp = 4
/
ATOMIC_SPECIES
Tl 204.38 Tl.upf
Pb 207.20 Pb.upf
Ce 140.12 Ce.upf
Mg 24.30 Mg.upf
CELL_PARAMETERS angstrom
-3.460 1.241 -3.913
0.807 -1.839 -4.979
-3.233 -3.779 -2.023
ATOMIC_POSITIONS angstrom
Tl -4.414 -3.283 -8.187
Pb -1.471 -1.094 -2.729
Ce -2.943 -2.188 -5.458
Mg 0.000 0.000 0.000
```

Version two
VASP calculation (PBE-GGA) on a relaxed CeMgTlPb crystal. Values from VASP.

Geometry as Quantum ESPRESSO input:
```
&SYSTEM
  ibrav = 0, nat = 4, ntyp = 4
/
ATOMIC_SPECIES
Pb 207.20 Pb.upf
Mg 24.30 Mg.upf
Tl 204.38 Tl.upf
Ce 140.12 Ce.upf
CELL_PARAMETERS angstrom
-1.296 1.179 -4.188
-1.341 -4.548 -0.866
-4.572 1.024 1.703
ATOMIC_POSITIONS angstrom
Pb -2.957 -1.762 0.419
Mg -1.319 -1.684 -2.527
Tl 0.000 0.000 0.000
Ce -2.934 1.102 -1.242
```

It is version one that is the least stable of them.

Version one
VASP calculation (PBE-GGA) on a relaxed CeMg4Pd2 crystal. Values from VASP.

Geometry as Quantum ESPRESSO input:
```
&SYSTEM
  ibrav = 0, nat = 7, ntyp = 3
/
ATOMIC_SPECIES
Ce 140.12 Ce.upf
Pd 106.42 Pd.upf
Mg 24.30 Mg.upf
CELL_PARAMETERS angstrom
-1.808 -0.156 3.851
-2.251 -3.438 -1.196
7.251 -3.223 3.275
ATOMIC_POSITIONS angstrom
Ce 0.000 0.000 0.000
Pd 4.235 -4.224 4.171
Pd -1.043 -2.593 1.758
Mg 1.923 -4.986 3.054
Mg 3.947 -3.184 1.725
Mg 1.269 -1.831 2.875
Mg 1.054 -3.477 0.354
```

Version two
VASP calculation (PBE-GGA) on a relaxed CeMg4Pd2 crystal. Values from VASP.

Geometry as Quantum ESPRESSO input:
```
&SYSTEM
  ibrav = 0, nat = 14, ntyp = 3
/
ATOMIC_SPECIES
Mg 24.30 Mg.upf
Pd 106.42 Pd.upf
Ce 140.12 Ce.upf
CELL_PARAMETERS angstrom
4.551 0.000 0.000
0.000 8.063 0.000
0.000 0.000 8.063
ATOMIC_POSITIONS angstrom
Mg 0.000 0.687 2.707
Mg 2.276 1.324 4.718
Mg 2.276 3.344 6.739
Mg 2.276 6.739 3.344
Mg 2.276 4.718 1.324
Mg 0.000 5.355 7.376
Mg 0.000 2.707 0.687
Mg 0.000 7.376 5.355
Pd 0.000 1.928 6.135
Pd 2.276 5.959 5.959
Pd 2.276 2.104 2.104
Pd 0.000 6.135 1.928
Ce 0.000 4.031 4.031
Ce 2.276 0.000 0.000
```

It is version one that is the least stable of them.

Version one
VASP calculation (PBE-GGA) on a relaxed CeMgPd crystal. Values from VASP.

Geometry as Quantum ESPRESSO input:
```
&SYSTEM
  ibrav = 0, nat = 3, ntyp = 3
/
ATOMIC_SPECIES
Mg 24.30 Mg.upf
Ce 140.12 Ce.upf
Pd 106.42 Pd.upf
CELL_PARAMETERS angstrom
-0.914 -4.247 2.015
2.688 -3.804 -1.109
3.028 -1.817 3.234
ATOMIC_POSITIONS angstrom
Mg 0.000 0.000 0.000
Ce 2.401 -4.934 2.070
Pd 1.201 -2.467 1.035
```

Version two
VASP calculation (PBE-GGA) on a relaxed CeMgPd crystal. Values from VASP.

Geometry as Quantum ESPRESSO input:
```
&SYSTEM
  ibrav = 0, nat = 18, ntyp = 3
/
ATOMIC_SPECIES
Mg 24.30 Mg.upf
Pd 106.42 Pd.upf
Ce 140.12 Ce.upf
CELL_PARAMETERS angstrom
4.156 0.000 0.000
0.000 7.572 -0.026
0.000 -0.023 12.967
ATOMIC_POSITIONS angstrom
Mg 3.117 1.010 7.002
Mg 1.039 6.540 5.939
Mg 1.039 0.012 1.091
Mg 1.039 2.796 2.604
Mg 3.117 4.753 10.336
Mg 3.117 7.538 11.849
Pd 3.117 1.871 1.060
Pd 1.039 1.868 5.371
Pd 1.039 5.663 3.204
Pd 1.039 5.678 11.881
Pd 3.117 5.681 7.569
Pd 3.117 1.887 9.736
Ce 1.039 7.213 9.227
Ce 3.117 0.336 3.713
Ce 1.039 3.458 8.079
Ce 3.117 4.092 4.862
Ce 3.117 4.977 1.052
Ce 1.039 2.573 11.888
```

It is version one that is the least stable of them.